The following is a PBE calculation of a relaxed structure of Ta4TcOs2, from Alexandria via LeMat-Bulk.

Unit cell a=5.4541 b=5.4541 c=5.4541 alpha=110.08 beta=109.17 gamma=109.17
With the nearest neighbours (Å) after each atom.
Fractional coordinates of all 7 atoms:
Tc  0.0000  0.0000  0.0000  8 Ta 2.73
Ta  0.0000  0.0000  0.5000  2 Tc 2.73, 4 Os 2.73
Ta  0.5000  0.0000  0.0000  4 Os 2.73, 2 Tc 2.73
Ta  0.0000  0.5000  0.0000  2 Tc 2.73, 4 Os 2.73
Ta  0.5000  0.5000  0.5000  4 Os 2.73, 2 Tc 2.73
Os  0.5000  0.0000  0.5000  8 Ta 2.73
Os  0.5000  0.5000  0.0000  8 Ta 2.73

Results
ΔE_f = -0.125 eV per atom
N(E_F) = 3.5 states/eV/cell
Total energy = -11.5868 eV per atom
Calculated density = 16.0 Mg/m³


The following is a PBE calculation of a relaxed structure of HfPa2Rh9, from Alexandria via LeMat-Bulk.

Unit cell a=4.0271 b=4.0271 c=12.0228 alpha=90.00 beta=90.00 gamma=90.00
With the nearest neighbours (Å) after each atom.
Fractional coordinates of all 12 atoms:
Rh  0.5000  0.0000  0.5000  8 Rh 2.85-2.87, 4 Pa 2.88
Rh  0.5000  0.5000  0.0000  8 Rh 2.80, 4 Hf 2.85
Rh  0.5000  0.0000  0.8385  8 Rh 2.80-2.86, 2 Hf 2.80, 2 Pa 2.85
Rh  0.5000  0.0000  0.1615  2 Hf 2.80, 8 Rh 2.80-2.86, 2 Pa 2.85
Rh  0.0000  0.5000  0.1615  2 Hf 2.80, 8 Rh 2.80-2.86, 2 Pa 2.85
Rh  0.0000  0.5000  0.5000  8 Rh 2.85-2.87, 4 Pa 2.88
Rh  0.5000  0.5000  0.3301  4 Pa 2.85, 8 Rh 2.86-2.87
Rh  0.5000  0.5000  0.6699  4 Pa 2.85, 8 Rh 2.86-2.87
Rh  0.0000  0.5000  0.8385  2 Hf 2.80, 8 Rh 2.80-2.86, 2 Pa 2.85
Pa  0.0000  0.0000  0.6707  12 Rh 2.85-2.88
Pa  0.0000  0.0000  0.3293  12 Rh 2.85-2.88
Hf  0.0000  0.0000  0.0000  12 Rh 2.80-2.85

Results
ΔE_f = -0.846 eV per atom
N(E_F) = 12.2 states/eV/cell
Total energy = -8.7718 eV per atom
Calculated density = 13.3 Mg/m³


The following is a PBE calculation of a relaxed structure of Th4As2PRh, from Alexandria via LeMat-Bulk.

Unit cell a=4.1358 b=7.3501 c=7.3281 alpha=70.70 beta=90.00 gamma=90.00
With the nearest neighbours (Å) after each atom.
Fractional coordinates of all 8 atoms:
Th  0.0000  0.7346  0.7596  2 Rh 2.89, 1 P 2.96, 3 As 3.03-3.04
Th  0.0000  0.2654  0.2404  2 Rh 2.89, 1 P 2.96, 3 As 3.03-3.04
Th  0.5000  0.2585  0.7451  2 P 2.92, 1 Rh 2.97, 3 As 3.00-3.01
Th  0.5000  0.7415  0.2549  2 P 2.92, 1 Rh 2.97, 3 As 3.00-3.01
P  0.0000  0.5000  0.5000  6 Th 2.92-2.96
As  0.5000  0.0000  0.5000  6 Th 3.01-3.04
As  0.0000  0.0000  0.0000  6 Th 3.00-3.03
Rh  0.5000  0.5000  0.0000  6 Th 2.89-2.97

Results
ΔE_f = -1.248 eV per atom
N(E_F) = 4.9 states/eV/cell
Total energy = -7.7155 eV per atom
Calculated density = 9.6 Mg/m³


The following is a PBE calculation of a relaxed structure of InSe, from Alexandria via LeMat-Bulk.

Unit cell a=2.9850 b=5.8072 c=5.9517 alpha=90.00 beta=90.00 gamma=90.00
With the nearest neighbours (Å) after each atom.
Fractional coordinates of all 4 atoms:
Se  0.0000  0.0000  0.6249  6 In 2.97-3.26, 2 Se 2.99
Se  0.5000  0.5000  0.1251  6 In 2.97-3.26, 2 Se 2.99
In  0.0000  0.0000  0.1251  6 Se 2.97-3.26, 2 In 2.99
In  0.5000  0.5000  0.6249  6 Se 2.97-3.26, 2 In 2.99

Results
Formation energy (no corrections) = -180 meV per atom
N(E_F) = 2.0 states/eV/cell
Total energy = -3.2918 eV per atom
Calculated density = 6.2 Mg/m³